Mg3ScAs: optimized geometry, PBE-GGA.

Unit cell a=5.061 b=5.061 c=5.061 alpha=90.00 beta=90.00 gamma=90.00
Element x y z (fractional)
Mg: 0.000 0.000 0.500
Mg: 0.000 0.500 0.000
Mg: 0.500 0.000 0.000
Sc: 0.500 0.500 0.500
As: 0.000 0.000 0.000

* total energy: -2.994 eV per atom
* density of states at the Fermi level: 3.61 states/eV/f.u.
* formation enthalpy at 0 K: 159 meV/atom
* space group: Pm-3m
* energy relative to the lowest polymorph listed for this composition: 0 meV per atom
* density: 2.5 g/cm3

HfMo2As: optimized geometry, PBE-GGA.

Unit cell a=7.717 b=7.717 c=5.126 alpha=90.00 beta=90.00 gamma=90.00
Element x y z (fractional)
Hf: 0.000 0.000 0.000
Hf: 0.000 0.500 0.250
Hf: 0.500 0.000 0.750
Hf: 0.500 0.500 0.500
Mo: 0.177 0.250 0.625
Mo: 0.250 0.677 0.875
Mo: 0.250 0.823 0.375
Mo: 0.323 0.250 0.125
Mo: 0.677 0.750 0.125
Mo: 0.750 0.177 0.375
Mo: 0.750 0.323 0.875
Mo: 0.823 0.750 0.625
As: 0.000 0.000 0.500
As: 0.000 0.500 0.750
As: 0.500 0.000 0.250
As: 0.500 0.500 0.000

* total energy: -8.707 eV per atom
* density of states at the Fermi level: 3.85 states/eV/f.u.
* formation enthalpy at 0 K: 359 meV/atom
* space group: I-42d
* density: 9.7 g/cm3

Tb2HoPuSb4: optimized geometry, PBE-GGA.

Unit cell a=7.616 b=4.405 c=7.619 alpha=90.00 beta=109.44 gamma=90.00
Element x y z (fractional)
Tb: 0.000 0.000 0.000
Tb: 0.500 0.500 0.000
Ho: 0.000 0.500 0.500
Pu: 0.500 0.000 0.500
Sb: 0.248 0.000 0.748
Sb: 0.249 0.500 0.251
Sb: 0.751 0.500 0.749
Sb: 0.752 0.000 0.252

* raw formation energy: -8.0 eV/f.u.
* total energy: -6.576 eV per atom
* density of states at the Fermi level: 16.40 states/eV/f.u.
* space group: P2/m
* density: 8.4 g/cm3

TcBiPd2: optimized geometry, PBE-GGA.

Unit cell a=4.001 b=4.001 c=19.322 alpha=90.00 beta=90.00 gamma=90.00
Element x y z (fractional)
Tc: 0.000 0.000 0.000
Tc: 0.000 0.500 0.250
Tc: 0.500 0.000 0.750
Tc: 0.500 0.500 0.500
Bi: 0.000 0.000 0.500
Bi: 0.000 0.500 0.750
Bi: 0.500 0.000 0.250
Bi: 0.500 0.500 0.000
Pd: 0.238 0.250 0.125
Pd: 0.250 0.738 0.375
Pd: 0.250 0.762 0.875
Pd: 0.262 0.250 0.625
Pd: 0.738 0.750 0.625
Pd: 0.750 0.238 0.875
Pd: 0.750 0.262 0.375
Pd: 0.762 0.750 0.125

* total energy: -5.700 eV per atom
* density of states at the Fermi level: 3.44 states/eV/f.u.
* formation enthalpy at 0 K: 458 meV/atom
* space group: I-42d
* density: 11.2 g/cm3

CaAc2F11: optimized geometry, PBE-GGA.

Unit cell a=9.601 b=9.601 c=9.601 alpha=129.67 beta=112.55 gamma=88.75
Element x y z (fractional)
Ca: 0.250 0.250 0.000
Ca: 0.750 0.750 0.000
Ac: 0.182 0.212 0.394
Ac: 0.318 0.712 0.030
Ac: 0.682 0.288 0.970
Ac: 0.818 0.788 0.606
F: 0.000 0.500 0.500
F: 0.070 0.691 0.761
F: 0.077 0.964 0.735
F: 0.132 0.857 0.171
F: 0.186 0.357 0.725
F: 0.229 0.342 0.265
F: 0.271 0.536 0.113
F: 0.314 0.039 0.171
F: 0.368 0.539 0.725
F: 0.423 0.158 0.887
F: 0.430 0.191 0.622
F: 0.500 0.000 0.500
F: 0.570 0.809 0.378
F: 0.577 0.842 0.113
F: 0.632 0.461 0.275
F: 0.686 0.961 0.829
F: 0.729 0.464 0.887
F: 0.771 0.658 0.735
F: 0.814 0.643 0.275
F: 0.868 0.143 0.829
F: 0.923 0.036 0.265
F: 0.930 0.309 0.239

* raw formation energy: -43.1 eV/f.u.
* total energy: -5.277 eV per atom
* density of states at the Fermi level: 6.55 states/eV/f.u.
* space group: Ibam
* density: 3.9 g/cm3

ZnGa2GeO6: optimized geometry, PBE-GGA.

Unit cell a=7.103 b=7.103 c=5.526 alpha=106.46 beta=106.46 gamma=98.12
Element x y z (fractional)
Zn: 0.113 0.887 0.750
Zn: 0.887 0.113 0.250
Ga: 0.281 0.444 0.819
Ga: 0.444 0.281 0.319
Ga: 0.556 0.719 0.681
Ga: 0.719 0.556 0.181
Ge: 0.185 0.815 0.250
Ge: 0.815 0.185 0.750
O: 0.038 0.205 0.654
O: 0.138 0.641 0.927
O: 0.205 0.038 0.154
O: 0.313 0.449 0.499
O: 0.359 0.862 0.573
O: 0.449 0.313 0.999
O: 0.551 0.687 0.001
O: 0.641 0.138 0.427
O: 0.687 0.551 0.501
O: 0.795 0.962 0.846
O: 0.862 0.359 0.073
O: 0.962 0.795 0.346

* raw formation energy: -16.1 eV/f.u.
* total energy: -5.778 eV per atom
* density of states at the Fermi level: 0.00 states/eV/f.u.
* space group: C2/c
* density: 5.0 g/cm3